DFT (GGA-PBE) results for a geometry-optimized SrGa2CuPt4 structure.

POSCAR file:
```
SrGa2CuPt4
1.0
2.151 1.242 9.189
-2.151 1.242 9.189
0.000 -2.484 9.189
Sr Ga Cu Pt
1 2 1 4
Direct
0.000 0.000 0.000
0.236 0.236 0.236
0.764 0.764 0.764
0.500 0.500 0.500
0.133 0.133 0.133
0.409 0.409 0.409
0.591 0.591 0.591
0.867 0.867 0.867
```

Calculated values
SG: R-3m (166)
Energy relative to the elements: -0.58 eV/atom

***

DFT (GGA-PBE) results for a geometry-optimized Na2NpHgSe4 structure.

POSCAR file:
```
Na2NpHgSe4
1.0
7.341 0.000 0.000
0.000 4.137 0.000
-2.755 0.000 6.937
Na Np Hg Se
2 1 1 4
Direct
0.000 0.000 0.000
0.500 0.500 0.000
0.000 0.500 0.500
0.500 0.000 0.500
0.221 0.000 0.744
0.255 0.500 0.288
0.745 0.500 0.712
0.779 0.000 0.256
```

Calculated values
Formation energy without anion corrections: -0.87 eV/atom
SG: P2/m (10)

***

DFT (GGA-PBE) results for a geometry-optimized K2Ca2Mg structure.

POSCAR file:
```
K2Ca2Mg
1.0
8.665 0.000 0.000
0.000 8.665 0.000
0.000 0.000 6.848
K Ca Mg
4 4 2
Direct
0.174 0.326 0.000
0.326 0.826 0.000
0.674 0.174 0.000
0.826 0.674 0.000
0.155 0.655 0.500
0.345 0.155 0.500
0.655 0.845 0.500
0.845 0.345 0.500
0.000 0.000 0.500
0.500 0.500 0.500
```

Calculated values
SG: P4/mbm (127)
Energy relative to the elements: 0.24 eV/atom

***

DFT (GGA-PBE) results for a geometry-optimized BeAg structure.

POSCAR file:
```
BeAg
1.0
4.867 0.000 0.000
0.000 4.867 0.000
0.000 0.000 4.786
Be Ag
4 4
Direct
0.172 0.172 0.000
0.328 0.672 0.500
0.672 0.328 0.500
0.828 0.828 0.000
0.199 0.199 0.500
0.301 0.699 0.000
0.699 0.301 0.000
0.801 0.801 0.500
```

Calculated values
SG: P4_2/mnm (136)
Energy relative to the elements: 0.46 eV/atom